[1]
! InGaN3 | Alexandria | meta-GGA SCAN | single point on PBEsol structure; values from VASP
! D(E_F): 1.58 states/eV/f.u.
! total magnetic moment: 3.41 μB/cell
! calculated volume: 12.0 Å³ per atom
! SG: Pm-3m, No. 221
! energy: -0.523 Ha/atom
&SYSTEM
  ibrav = 0, nat = 5, ntyp = 3
/
ATOMIC_SPECIES
N 14.01 N.upf
Ga 69.72 Ga.upf
In 114.82 In.upf
CELL_PARAMETERS angstrom
-0.6948 2.8450 -2.6012
-3.7395 -1.1394 -0.2474
-0.9364 2.4394 2.9182
ATOMIC_POSITIONS crystal
N 0.0000 0.5000 0.0000
N 0.0000 0.0000 0.5000
N 0.5000 0.0000 0.0000
Ga 0.0000 0.0000 0.0000
In 0.5000 0.5000 0.5000

[2]
! BeCr2AgB | Alexandria | meta-GGA SCAN | single point on PBEsol structure; values from VASP
! D(E_F): 3.34 states/eV/f.u.
! E_form: 317.0 meV/atom
! total magnetic moment: 4.70 μB/cell
! calculated volume: 11.7 Å³ per atom
! SG: P4/mmm, No. 123
&SYSTEM
  ibrav = 0, nat = 5, ntyp = 4
/
ATOMIC_SPECIES
Cr 52.00 Cr.upf
B 10.81 B.upf
Ag 107.87 Ag.upf
Be 9.01 Be.upf
CELL_PARAMETERS angstrom
-0.0444 2.1402 -2.9822
0.0566 -3.2377 -2.3244
-3.9854 -0.0741 0.0062
ATOMIC_POSITIONS crystal
Cr 0.0000 0.0000 0.5000
Cr 0.0000 0.5000 0.0000
B 0.0000 0.0000 0.0000
Ag 0.5000 0.5000 0.5000
Be 0.5000 0.0000 0.0000

[3]
! CoMo2W | Alexandria | meta-GGA SCAN | single point on PBEsol structure; values from VASP
! D(E_F): 3.06 states/eV/f.u.
! E_form: 204.3 meV/atom
! total magnetic moment: 2.17 μB/cell
! calculated volume: 14.2 Å³ per atom
! offset from the most stable computed form: 42.5 meV/atom
! SG: F-43m, No. 216
&SYSTEM
  ibrav = 0, nat = 4, ntyp = 3
/
ATOMIC_SPECIES
Mo 95.94 Mo.upf
Co 58.93 Co.upf
W 183.84 W.upf
CELL_PARAMETERS angstrom
-1.9734 -0.0563 -3.8407
0.7917 -3.2016 -2.7877
-3.0443 -2.9509 -0.8203
ATOMIC_POSITIONS crystal
Mo 0.0000 0.0000 0.0000
Mo 0.7500 0.7500 0.7500
Co 0.5000 0.5000 0.5000
W 0.2500 0.2500 0.2500

[4]
! Cr2ReP | Alexandria | meta-GGA SCAN | single point on PBEsol structure; values from VASP
! D(E_F): 2.46 states/eV/f.u.
! E_form: -69.0 meV/atom
! total magnetic moment: 0.00 μB/cell
! calculated volume: 11.8 Å³ per atom
! SG: P4mm, No. 99
&SYSTEM
  ibrav = 0, nat = 4, ntyp = 3
/
ATOMIC_SPECIES
Cr 52.00 Cr.upf
P 30.97 P.upf
Re 186.21 Re.upf
CELL_PARAMETERS angstrom
2.9002 0.0000 0.0000
0.0000 2.9002 0.0000
0.0000 0.0000 5.6338
ATOMIC_POSITIONS crystal
Cr 0.0000 0.0000 0.0318
Cr 0.5000 0.5000 0.2495
P 0.0000 0.0000 0.4843
Re 0.5000 0.5000 0.7343

[5]
! Sr2MnBPt | Alexandria | meta-GGA SCAN | single point on PBEsol structure; values from VASP
! D(E_F): 3.22 states/eV/f.u.
! E_form: -179.7 meV/atom
! total magnetic moment: 4.68 μB/cell
! calculated volume: 24.5 Å³ per atom
! SG: P4/mmm, No. 123
&SYSTEM
  ibrav = 0, nat = 5, ntyp = 4
/
ATOMIC_SPECIES
Sr 87.62 Sr.upf
B 10.81 B.upf
Mn 54.94 Mn.upf
Pt 195.08 Pt.upf
CELL_PARAMETERS angstrom
-2.6683 0.0655 -2.9572
1.5238 -5.1220 -1.4884
-3.8268 -2.1282 3.4058
ATOMIC_POSITIONS crystal
Sr 0.0000 0.0000 0.5000
Sr 0.0000 0.5000 0.0000
B 0.0000 0.0000 0.0000
Mn 0.5000 0.5000 0.5000
Pt 0.5000 0.0000 0.0000

[6]
! BaCu6P2 | Alexandria | meta-GGA SCAN | single point on PBEsol structure; values from VASP
! D(E_F): 3.40 states/eV/f.u.
! E_form: -351.1 meV/atom
! total magnetic moment: 0.00 μB/cell
! calculated volume: 15.4 Å³ per atom
! SG: P4/mmm, No. 123
&SYSTEM
  ibrav = 0, nat = 9, ntyp = 3
/
ATOMIC_SPECIES
P 30.97 P.upf
Ba 137.33 Ba.upf
Cu 63.55 Cu.upf
CELL_PARAMETERS angstrom
-1.5908 3.6754 0.3315
-2.9783 -1.4919 2.2478
4.6559 1.3765 7.0826
ATOMIC_POSITIONS crystal
P 0.5000 0.5000 0.2050
P 0.5000 0.5000 0.7950
Ba 0.0000 0.0000 0.0000
Cu 0.0000 0.5000 0.3282
Cu 0.5000 0.0000 0.3282
Cu 0.0000 0.5000 0.6718
Cu 0.5000 0.0000 0.6718
Cu 0.5000 0.5000 0.5000
Cu 0.0000 0.0000 0.5000

[7]
! BaAg2W | Alexandria | meta-GGA SCAN | single point on PBEsol structure; values from VASP
! D(E_F): 2.40 states/eV/f.u.
! E_form: 1018.9 meV/atom
! total magnetic moment: 0.00 μB/cell
! calculated volume: 20.3 Å³ per atom
! offset from the most stable computed form: 204.2 meV/atom
! SG: Cmmm, No. 65
&SYSTEM
  ibrav = 0, nat = 4, ntyp = 3
/
ATOMIC_SPECIES
Ag 107.87 Ag.upf
Ba 137.33 Ba.upf
W 183.84 W.upf
CELL_PARAMETERS angstrom
-0.9116 0.0852 2.7899
0.6711 -5.3858 0.3837
4.5489 2.6336 1.4060
ATOMIC_POSITIONS crystal
Ag 0.0000 0.5000 0.0000
Ag 0.0000 0.0000 0.5000
Ba 0.5000 0.0000 0.0000
W 0.5000 0.5000 0.5000

[8]
! Sm2EuS4 | Alexandria | meta-GGA SCAN | single point on PBEsol structure; values from VASP
! D(E_F): 2.50 states/eV/f.u.
! total magnetic moment: 14.00 μB/cell
! calculated volume: 21.2 Å³ per atom
! SG: I-42d, No. 122
! energy: -1.038 Ha/atom
&SYSTEM
  ibrav = 0, nat = 14, ntyp = 3
/
ATOMIC_SPECIES
Sm 150.36 Sm.upf
Eu 151.96 Eu.upf
S 32.06 S.upf
CELL_PARAMETERS angstrom
-0.3059 -5.0070 -5.2659
-3.1379 -2.5919 6.0274
-6.9535 -1.6070 -1.4001
ATOMIC_POSITIONS crystal
Sm 0.8750 0.9980 0.3770
Sm 0.7480 0.1250 0.8770
Sm 0.3750 0.2520 0.6230
Sm 0.0020 0.6250 0.1230
Eu 0.5000 0.5000 0.0000
Eu 0.2500 0.7500 0.5000
S 0.9764 0.8803 0.7504
S 0.4769 0.8807 0.7496
S 0.1193 0.3697 0.4039
S 0.2731 0.0236 0.0961
S 0.6303 0.2264 0.2504
S 0.7736 0.5231 0.5961
S 0.1197 0.3693 0.9039
S 0.6307 0.7269 0.2496

[9]
! LiCa2Zn | Alexandria | meta-GGA SCAN | single point on PBEsol structure; values from VASP
! D(E_F): 2.78 states/eV/f.u.
! E_form: -122.4 meV/atom
! total magnetic moment: 0.02 μB/cell
! calculated volume: 27.5 Å³ per atom
! SG: Amm2, No. 38
&SYSTEM
  ibrav = 0, nat = 4, ntyp = 3
/
ATOMIC_SPECIES
Zn 65.41 Zn.upf
Ca 40.08 Ca.upf
Li 6.94 Li.upf
CELL_PARAMETERS angstrom
-0.6144 -2.6936 -3.2275
-2.2469 -2.7288 2.7052
-4.6350 4.0841 0.2700
ATOMIC_POSITIONS crystal
Zn 0.6860 0.5000 0.3721
Ca 0.1092 0.0000 0.2185
Ca 0.4021 0.5000 0.8042
Li 0.8151 0.0000 0.6303

[10]
! KAgPt3 | Alexandria | meta-GGA SCAN | single point on PBEsol structure; values from VASP
! D(E_F): 4.14 states/eV/f.u.
! E_form: 1096.7 meV/atom
! total magnetic moment: 0.00 μB/cell
! calculated volume: 23.7 Å³ per atom
! SG: Pm-3m, No. 221
&SYSTEM
  ibrav = 0, nat = 5, ntyp = 3
/
ATOMIC_SPECIES
K 39.10 K.upf
Ag 107.87 Ag.upf
Pt 195.08 Pt.upf
CELL_PARAMETERS angstrom
-4.4170 -1.8238 1.1330
-0.8437 -0.9089 -4.7520
1.9744 -4.4685 0.5042
ATOMIC_POSITIONS crystal
K 0.5000 0.5000 0.5000
Ag 0.0000 0.0000 0.0000
Pt 0.0000 0.5000 0.0000
Pt 0.0000 0.0000 0.5000
Pt 0.5000 0.0000 0.0000

[11]
! TlTe2Pb | Alexandria | meta-GGA SCAN | single point on PBEsol structure; values from VASP
! D(E_F): 1.38 states/eV/f.u.
! total magnetic moment: 0.00 μB/cell
! calculated volume: 32.3 Å³ per atom
! SG: Imm2, No. 44
! energy: -2.051 Ha/atom
&SYSTEM
  ibrav = 0, nat = 4, ntyp = 3
/
ATOMIC_SPECIES
Pb 207.20 Pb.upf
Te 127.60 Te.upf
Tl 204.38 Tl.upf
CELL_PARAMETERS angstrom
-3.7193 1.4795 -1.0873
-1.8461 -2.9003 2.3684
2.9338 5.3743 5.1887
ATOMIC_POSITIONS crystal
Pb 0.2058 0.7058 0.4116
Te 0.0432 0.0432 0.0864
Te 0.7921 0.2921 0.5842
Tl 0.4589 0.4589 0.9178

[12]
! ZrMn2P | Alexandria | meta-GGA SCAN | single point on PBEsol structure; values from VASP
! D(E_F): 2.40 states/eV/f.u.
! E_form: -567.6 meV/atom
! total magnetic moment: 0.58 μB/cell
! calculated volume: 13.9 Å³ per atom
! SG: R3m, No. 160
&SYSTEM
  ibrav = 0, nat = 4, ntyp = 3
/
ATOMIC_SPECIES
Mn 54.94 Mn.upf
P 30.97 P.upf
Zr 91.22 Zr.upf
CELL_PARAMETERS angstrom
-2.6150 2.6878 0.1529
-2.1549 0.3501 3.0528
1.4601 3.8762 2.8932
ATOMIC_POSITIONS crystal
Mn 0.9509 0.9509 0.1474
Mn 0.2583 0.2583 0.2250
P 0.5395 0.5395 0.3816
Zr 0.7522 0.7522 0.7433

[13]
! Ta2SbAs | Alexandria | meta-GGA SCAN | single point on PBEsol structure; values from VASP
! D(E_F): 0.67 states/eV/f.u.
! total magnetic moment: 0.00 μB/cell
! calculated volume: 18.5 Å³ per atom
! SG: P4mm, No. 99
! energy: -1.762 Ha/atom
&SYSTEM
  ibrav = 0, nat = 4, ntyp = 3
/
ATOMIC_SPECIES
Sb 121.76 Sb.upf
As 74.92 As.upf
Ta 180.95 Ta.upf
CELL_PARAMETERS angstrom
-2.8230 -1.7478 0.8912
1.8099 -1.7173 2.3651
-1.3771 4.3853 4.2380
ATOMIC_POSITIONS crystal
Sb 0.5000 0.5000 0.7750
As 0.0000 0.0000 0.4413
Ta 0.0000 0.0000 0.0061
Ta 0.5000 0.5000 0.2777

[14]
! YZr2Fe | Alexandria | meta-GGA SCAN | single point on PBEsol structure; values from VASP
! D(E_F): 4.87 states/eV/f.u.
! E_form: 370.2 meV/atom
! total magnetic moment: 0.47 μB/cell
! calculated volume: 19.0 Å³ per atom
! offset from the most stable computed form: 330.6 meV/atom
! SG: Fm-3m, No. 225
&SYSTEM
  ibrav = 0, nat = 4, ntyp = 3
/
ATOMIC_SPECIES
Fe 55.84 Fe.upf
Y 88.91 Y.upf
Zr 91.22 Zr.upf
CELL_PARAMETERS angstrom
4.7513 0.0000 0.0000
2.3756 4.1147 0.0000
2.3756 1.3716 3.8794
ATOMIC_POSITIONS crystal
Fe 0.0000 0.0000 0.0000
Y 0.5000 0.5000 0.5000
Zr 0.2500 0.2500 0.2500
Zr 0.7500 0.7500 0.7500